(1)
# GGA-PBE La3Zn3Cd8, optimized geometry
data_La3Zn3Cd8
_cell_length_a 5.0244
_cell_length_b 9.5715
_cell_length_c 13.9926
_cell_angle_alpha 90.00
_cell_angle_beta 90.00
_cell_angle_gamma 90.00
_symmetry_space_group_name_H-M 'I m m m'
_symmetry_Int_Tables_number 71
_symmetry_space_group_name_Hall '-I 2 2'
loop_
_atom_site_label
_atom_site_fract_x
_atom_site_fract_y
_atom_site_fract_z
_atom_site_occupancy
La1 0.0000 0.0000 0.0000 1
La2 0.0000 0.0000 0.2868 1
Zn1 0.0000 0.1446 0.5000 1
Zn2 0.0000 0.5000 0.0000 1
Cd1 0.0000 0.2966 0.1373 1
Cd2 0.0000 0.3526 0.3560 1
# E_form	-367	kJ/mol of formula units
# total DFT energy (no corrections)	-2.123	eV per atom



(2)
# GGA-PBE Sm8ErTh4, optimized geometry
data_Sm8ErTh4
_cell_length_a 11.2022
_cell_length_b 11.2022
_cell_length_c 13.4186
_cell_angle_alpha 90.00
_cell_angle_beta 90.00
_cell_angle_gamma 120.00
_symmetry_space_group_name_H-M 'R -3 m'
_symmetry_Int_Tables_number 166
_symmetry_space_group_name_Hall '-R 3 2"'
loop_
_atom_site_label
_atom_site_fract_x
_atom_site_fract_y
_atom_site_fract_z
_atom_site_occupancy
Sm1 0.0000 0.0000 0.2390 1
Sm2 0.0112 0.5056 0.7419 1
Er1 0.0000 0.0000 0.5000 1
Th1 0.0000 0.0000 0.0000 1
Th2 0.0000 0.5000 0.0000 1
# E_form	714	kJ/mol of formula units
# total DFT energy (no corrections)	-4.969	eV per atom



(3)
# GGA-PBE HgW, optimized geometry
data_HgW
_cell_length_a 8.2427
_cell_length_b 8.2427
_cell_length_c 4.7452
_cell_angle_alpha 90.00
_cell_angle_beta 90.00
_cell_angle_gamma 90.00
_symmetry_space_group_name_H-M 'I 4/m m m'
_symmetry_Int_Tables_number 139
_symmetry_space_group_name_Hall '-I 4 2'
loop_
_atom_site_label
_atom_site_fract_x
_atom_site_fract_y
_atom_site_fract_z
_atom_site_occupancy
Hg1 0.0000 0.2761 0.0000 1
W1 0.1580 0.1580 0.5000 1
# E_form	159	kJ/mol of formula units
# total DFT energy (no corrections)	-5.801	eV per atom



(4)
# GGA-PBE ErTm2Bi, optimized geometry
data_ErTm2Bi
_cell_length_a 4.0904
_cell_length_b 4.0904
_cell_length_c 6.9224
_cell_angle_alpha 90.00
_cell_angle_beta 90.00
_cell_angle_gamma 90.00
_symmetry_space_group_name_H-M 'P 4/m m m'
_symmetry_Int_Tables_number 123
_symmetry_space_group_name_Hall '-P 4 2'
loop_
_atom_site_label
_atom_site_fract_x
_atom_site_fract_y
_atom_site_fract_z
_atom_site_occupancy
Er1 0.0000 0.0000 0.0000 1
Tm1 0.5000 0.5000 0.2599 1
Bi1 0.0000 0.0000 0.5000 1
# E_form	-121	kJ/mol of formula units
# total DFT energy (no corrections)	-4.661	eV per atom



(5)
# GGA-PBE Tb6ZrSc2, optimized geometry
data_Tb6ZrSc2
_cell_length_a 16.3371
_cell_length_b 9.4137
_cell_length_c 3.3656
_cell_angle_alpha 90.00
_cell_angle_beta 90.11
_cell_angle_gamma 90.00
_symmetry_space_group_name_H-M 'C 1 2/m 1'
_symmetry_Int_Tables_number 12
_symmetry_space_group_name_Hall '-C 2y'
loop_
_atom_site_label
_atom_site_fract_x
_atom_site_fract_y
_atom_site_fract_z
_atom_site_occupancy
Tb1 0.0000 0.1696 0.0000 1
Tb2 0.1653 0.3347 0.9998 1
Zr1 0.0000 0.5000 0.5000 1
Sc1 0.1667 0.0000 0.5000 1
# E_form	110	kJ/mol of formula units
# total DFT energy (no corrections)	-5.317	eV per atom



(6)
# GGA-PBE TiNb2B2Ru5, optimized geometry
data_TiNb2B2Ru5
_cell_length_a 9.3743
_cell_length_b 9.3743
_cell_length_c 3.0141
_cell_angle_alpha 90.00
_cell_angle_beta 90.00
_cell_angle_gamma 90.00
_symmetry_space_group_name_H-M 'P 4/m b m'
_symmetry_Int_Tables_number 127
_symmetry_space_group_name_Hall '-P 4 2ab'
loop_
_atom_site_label
_atom_site_fract_x
_atom_site_fract_y
_atom_site_fract_z
_atom_site_occupancy
Ti1 0.0000 0.0000 0.0000 1
Nb1 0.1769 0.3231 0.0000 1
B1 0.1236 0.6236 0.0000 1
Ru1 0.0000 0.5000 0.5000 1
Ru2 0.0701 0.7838 0.5000 1
# E_form	-535	kJ/mol of formula units
# total DFT energy (no corrections)	-9.331	eV per atom



(7)
# GGA-PBE Mg2ScW, optimized geometry
data_Mg2ScW
_cell_length_a 6.8046
_cell_length_b 6.8046
_cell_length_c 6.8046
_cell_angle_alpha 90.00
_cell_angle_beta 90.00
_cell_angle_gamma 90.00
_symmetry_space_group_name_H-M 'F -4 3 m'
_symmetry_Int_Tables_number 216
_symmetry_space_group_name_Hall 'F -4 2 3'
loop_
_atom_site_label
_atom_site_fract_x
_atom_site_fract_y
_atom_site_fract_z
_atom_site_occupancy
Mg1 0.0000 0.0000 0.0000 1
Mg2 0.2500 0.2500 0.2500 1
Sc1 0.2500 0.2500 0.7500 1
W1 0.0000 0.0000 0.5000 1
# E_form	192	kJ/mol of formula units
# total DFT energy (no corrections)	-5.121	eV per atom



(8)
# GGA-PBE MgMo2Os, optimized geometry
data_MgMo2Os
_cell_length_a 2.7070
_cell_length_b 4.4344
_cell_length_c 5.2892
_cell_angle_alpha 90.00
_cell_angle_beta 99.61
_cell_angle_gamma 90.00
_symmetry_space_group_name_H-M 'P 1 m 1'
_symmetry_Int_Tables_number 6
_symmetry_space_group_name_Hall 'P -2y'
loop_
_atom_site_label
_atom_site_fract_x
_atom_site_fract_y
_atom_site_fract_z
_atom_site_occupancy
Mg1 0.0000 0.0000 0.0000 1
Mo1 0.4967 0.0000 0.5036 1
Mo2 0.6977 0.5000 0.2456 1
Os1 0.2719 0.5000 0.7558 1
# E_form	81	kJ/mol of formula units
# total DFT energy (no corrections)	-8.411	eV per atom



(9)
# GGA-PBE NdEuTe2, optimized geometry
data_NdEuTe2
_cell_length_a 3.9318
_cell_length_b 3.9318
_cell_length_c 7.8844
_cell_angle_alpha 90.00
_cell_angle_beta 90.00
_cell_angle_gamma 90.00
_symmetry_space_group_name_H-M 'P 4/m m m'
_symmetry_Int_Tables_number 123
_symmetry_space_group_name_Hall '-P 4 2'
loop_
_atom_site_label
_atom_site_fract_x
_atom_site_fract_y
_atom_site_fract_z
_atom_site_occupancy
Nd1 0.0000 0.0000 0.0000 1
Eu1 0.0000 0.0000 0.5000 1
Te1 0.5000 0.5000 0.2410 1
# total DFT energy (no corrections)	-6.711	eV per atom



(10)
# GGA-PBE TiNbC3, optimized geometry
data_TiNbC3
_cell_length_a 4.0878
_cell_length_b 4.0878
_cell_length_c 4.0878
_cell_angle_alpha 90.00
_cell_angle_beta 90.00
_cell_angle_gamma 90.00
_symmetry_space_group_name_H-M 'P m -3 m'
_symmetry_Int_Tables_number 221
_symmetry_space_group_name_Hall '-P 4 2 3'
loop_
_atom_site_label
_atom_site_fract_x
_atom_site_fract_y
_atom_site_fract_z
_atom_site_occupancy
Ti1 0.0000 0.0000 0.0000 1
Nb1 0.5000 0.5000 0.5000 1
C1 0.0000 0.5000 0.5000 1
# E_form	798	kJ/mol of formula units
# total DFT energy (no corrections)	-7.472	eV per atom



(11)
# GGA-PBE BeIBr2, optimized geometry
data_BeIBr2
_cell_length_a 3.4704
_cell_length_b 3.4704
_cell_length_c 36.9514
_cell_angle_alpha 90.00
_cell_angle_beta 90.00
_cell_angle_gamma 120.00
_symmetry_space_group_name_H-M 'R -3 m'
_symmetry_Int_Tables_number 166
_symmetry_space_group_name_Hall '-R 3 2"'
loop_
_atom_site_label
_atom_site_fract_x
_atom_site_fract_y
_atom_site_fract_z
_atom_site_occupancy
Be1 0.0000 0.0000 0.0000 1
I1 0.0000 0.0000 0.5000 1
Br1 0.0000 0.0000 0.3706 1
# total DFT energy (no corrections)	-2.626	eV per atom



(12)
# GGA-PBE SrAuSe, optimized geometry
data_SrAuSe
_cell_length_a 4.1808
_cell_length_b 4.1808
_cell_length_c 9.4728
_cell_angle_alpha 90.00
_cell_angle_beta 90.00
_cell_angle_gamma 90.00
_symmetry_space_group_name_H-M 'I 4 m m'
_symmetry_Int_Tables_number 107
_symmetry_space_group_name_Hall 'I 4 -2'
loop_
_atom_site_label
_atom_site_fract_x
_atom_site_fract_y
_atom_site_fract_z
_atom_site_occupancy
Sr1 0.0000 0.0000 0.0000 1
Au1 0.0000 0.0000 0.6642 1
Se1 0.0000 0.0000 0.3802 1
# total DFT energy (no corrections)	-3.661	eV per atom



> Number 1 is which compound?

La3Zn3Cd8



> Which formula does entry 8 have?

MgMo2Os



> The highest total DFT energy (no corrections) belongs to which entry?

La3Zn3Cd8